# 1
Compound: CuSiTeI2
Source: Alexandria via LeMat-Bulk
Functional: PBE
Structure: optimized geometry

```
5
Lattice="5.501 0.000 0.000 0.000 5.501 0.000 0.000 0.000 5.392" Properties=species:S:1:pos:R:3 pbc="T T T"
Cu 2.751 2.751 2.696
I 0.000 2.751 0.000
Si 0.000 0.000 0.000
Te 0.000 0.000 2.696
I 2.751 0.000 0.000
```

Properties
formation energy from raw total energies	628	meV/atom
symmetry	P4/mmm
energy above the most stable polymorph in this dataset	0.0244	eV/atom

---

# 2
Compound: TlNiSn2
Source: Alexandria via LeMat-Bulk
Functional: PBE
Structure: optimized geometry

```
8
Lattice="-1.370 4.396 2.665 -5.117 -1.428 -0.276 -2.514 -2.465 8.084" Properties=species:S:1:pos:R:3 pbc="T T T"
Ni -3.244 1.484 1.194
Sn -4.138 -0.509 2.454
Sn -7.038 0.895 8.181
Ni -5.438 -1.204 4.501
Tl -3.564 1.708 5.971
Tl 0.000 0.000 0.000
Sn -1.984 1.502 3.379
Sn -4.843 -0.882 6.930
```

Properties
ΔH_f (0 K)	229	meV/atom
symmetry	I-42d
energy above the most stable polymorph in this dataset	0.2554	eV/atom

---

# 3
Compound: Rh2C
Source: Alexandria via LeMat-Bulk
Functional: PBE
Structure: optimized geometry

```
6
Lattice="2.627 -5.046 0.000 2.627 5.046 0.000 0.000 0.000 2.978" Properties=species:S:1:pos:R:3 pbc="T T T"
Rh 2.627 0.000 1.489
Rh 0.000 0.000 0.000
C 2.627 1.490 0.000
C 2.627 -1.490 0.000
Rh 2.627 2.672 1.489
Rh 2.627 -2.672 1.489
```

Properties
ΔH_f (0 K)	735	meV/atom
symmetry	Cmmm
energy above the most stable polymorph in this dataset	0.5429	eV/atom